Record 1
# PBE-GGA K2BaMo, optimized geometry
# Formation energy ... 1.191 eV per atom
# ΔE to the lowest computed polymorph ... 209 meV per atom
# Volume ... 185 Å³ per cell
# Theoretical density ... 2.791 g/cm3
# Size of the total moment ... 3.95 μB per cell
data_K2BaMo
_chemical_formula_sum 'K2 Ba1 Mo1'
_symmetry_space_group_name_H-M 'P 1'
_symmetry_Int_Tables_number 1
_symmetry_space_group_name_Hall 'P 1'
_cell_length_a 3.9040
_cell_length_b 6.3984
_cell_length_c 7.4172
_cell_angle_alpha 90.00
_cell_angle_beta 90.00
_cell_angle_gamma 90.00
loop_
_atom_site_label
_atom_site_fract_x
_atom_site_fract_y
_atom_site_fract_z
_atom_site_occupancy
K1 0.0000 0.0000 0.2232 1
K2 0.0000 0.0000 0.7768 1
Ba1 0.5000 0.5000 0.5000 1
Mo1 0.5000 0.5000 0.0000 1

---

Record 2
# PBE-GGA LaPm8Pt6, optimized geometry
# Formation energy ... -0.916 eV per atom
# Volume ... 409 Å³ per cell
# Theoretical density ... 10.037 g/cm3
# Size of the total moment ... 0.00 μB per cell
data_LaPm8Pt6
_chemical_formula_sum 'La1 Pm8 Pt6'
_symmetry_space_group_name_H-M 'P 1'
_symmetry_Int_Tables_number 1
_symmetry_space_group_name_Hall 'P 1'
_cell_length_a 8.1073
_cell_length_b 8.1073
_cell_length_c 8.1073
_cell_angle_alpha 63.82
_cell_angle_beta 63.82
_cell_angle_gamma 63.82
loop_
_atom_site_label
_atom_site_fract_x
_atom_site_fract_y
_atom_site_fract_z
_atom_site_occupancy
La1 0.0000 0.0000 0.0000 1
Pm1 0.1095 0.7747 0.4517 1
Pm2 0.2253 0.5483 0.8905 1
Pm3 0.3341 0.3341 0.3341 1
Pm4 0.4517 0.1095 0.7747 1
Pm5 0.5483 0.8905 0.2253 1
Pm6 0.6659 0.6659 0.6659 1
Pm7 0.7747 0.4517 0.1095 1
Pm8 0.8905 0.2253 0.5483 1
Pt1 0.0672 0.3989 0.7317 1
Pt2 0.2683 0.9328 0.6011 1
Pt3 0.3989 0.7317 0.0672 1
Pt4 0.6011 0.2683 0.9328 1
Pt5 0.7317 0.0672 0.3989 1
Pt6 0.9328 0.6011 0.2683 1

---

Record 3
# PBE-GGA TaPbCl2, optimized geometry
# ΔE to the lowest computed polymorph ... 230 meV per atom
# Volume ... 91 Å³ per cell
# Theoretical density ... 8.364 g/cm3
# Size of the total moment ... 0.00 μB per cell
data_TaPbCl2
_chemical_formula_sum 'Ta1 Pb1 Cl2'
_symmetry_space_group_name_H-M 'P 1'
_symmetry_Int_Tables_number 1
_symmetry_space_group_name_Hall 'P 1'
_cell_length_a 9.5712
_cell_length_b 9.5712
_cell_length_c 9.5712
_cell_angle_alpha 20.16
_cell_angle_beta 20.16
_cell_angle_gamma 20.16
loop_
_atom_site_label
_atom_site_fract_x
_atom_site_fract_y
_atom_site_fract_z
_atom_site_occupancy
Ta1 0.0000 0.0000 0.0000 1
Pb1 0.7561 0.7561 0.7561 1
Cl1 0.2756 0.2756 0.2756 1
Cl2 0.4988 0.4988 0.4988 1

---

Record 4
# PBE-GGA Ba2YRuO6, optimized geometry
# Volume ... 151 Å³ per cell
# Theoretical density ... 6.167 g/cm3
# DFT total energy ... -7.347 eV/atom
# Size of the total moment ... 2.99 μB per cell
data_Ba2YRuO6
_chemical_formula_sum 'Ba2 Y1 Ru1 O6'
_symmetry_space_group_name_H-M 'P 1'
_symmetry_Int_Tables_number 1
_symmetry_space_group_name_Hall 'P 1'
_cell_length_a 5.9765
_cell_length_b 5.9765
_cell_length_c 5.9765
_cell_angle_alpha 60.00
_cell_angle_beta 60.00
_cell_angle_gamma 60.00
loop_
_atom_site_label
_atom_site_fract_x
_atom_site_fract_y
_atom_site_fract_z
_atom_site_occupancy
Ba1 0.2500 0.2500 0.2500 1
Ba2 0.7500 0.7500 0.7500 1
Y1 0.0000 0.0000 0.0000 1
Ru1 0.5000 0.5000 0.5000 1
O1 0.2652 0.2652 0.7348 1
O2 0.2652 0.7348 0.2652 1
O3 0.2652 0.7348 0.7348 1
O4 0.7348 0.2652 0.2652 1
O5 0.7348 0.2652 0.7348 1
O6 0.7348 0.7348 0.2652 1

---

Record 5
# PBE-GGA PmHoNiAu, optimized geometry
# Formation energy ... -0.541 eV per atom
# ΔE to the lowest computed polymorph ... 57 meV per atom
# Volume ... 89 Å³ per cell
# Theoretical density ... 10.525 g/cm3
# Size of the total moment ... 0.00 μB per cell
data_PmHoNiAu
_chemical_formula_sum 'Pm1 Ho1 Ni1 Au1'
_symmetry_space_group_name_H-M 'P 1'
_symmetry_Int_Tables_number 1
_symmetry_space_group_name_Hall 'P 1'
_cell_length_a 5.0158
_cell_length_b 5.0158
_cell_length_c 5.0158
_cell_angle_alpha 60.00
_cell_angle_beta 60.00
_cell_angle_gamma 60.00
loop_
_atom_site_label
_atom_site_fract_x
_atom_site_fract_y
_atom_site_fract_z
_atom_site_occupancy
Pm1 0.0000 0.0000 0.0000 1
Ho1 0.5000 0.5000 0.5000 1
Ni1 0.7500 0.7500 0.7500 1
Au1 0.2500 0.2500 0.2500 1

---

Record 6
# PBE-GGA KNiBr4, optimized geometry
# ΔE to the lowest computed polymorph ... 0 meV per atom
# Volume ... 453 Å³ per cell
# Theoretical density ... 3.058 g/cm3
# Size of the total moment ... 2.00 μB per cell
data_KNiBr4
_chemical_formula_sum 'K2 Ni2 Br8'
_symmetry_space_group_name_H-M 'P 1'
_symmetry_Int_Tables_number 1
_symmetry_space_group_name_Hall 'P 1'
_cell_length_a 8.8269
_cell_length_b 8.8269
_cell_length_c 6.5011
_cell_angle_alpha 90.69
_cell_angle_beta 90.69
_cell_angle_gamma 116.46
loop_
_atom_site_label
_atom_site_fract_x
_atom_site_fract_y
_atom_site_fract_z
_atom_site_occupancy
K1 0.2373 0.7627 0.7500 1
K2 0.7627 0.2373 0.2500 1
Ni1 0.4403 0.5597 0.2500 1
Ni2 0.5597 0.4403 0.7500 1
Br1 0.1559 0.5086 0.1281 1
Br2 0.2980 0.4110 0.5627 1
Br3 0.4110 0.2980 0.0627 1
Br4 0.4914 0.8441 0.3719 1
Br5 0.5086 0.1559 0.6281 1
Br6 0.5890 0.7020 0.9373 1
Br7 0.7020 0.5890 0.4373 1
Br8 0.8441 0.4914 0.8719 1

---

Record 7
# PBE-GGA RbHg2Sb, optimized geometry
# Volume ... 143 Å³ per cell
# Theoretical density ... 7.079 g/cm3
# DFT total energy ... -1.608 eV/atom
# Size of the total moment ... 0.00 μB per cell
data_RbHg2Sb
_chemical_formula_sum 'Rb1 Hg2 Sb1'
_symmetry_space_group_name_H-M 'P 1'
_symmetry_Int_Tables_number 1
_symmetry_space_group_name_Hall 'P 1'
_cell_length_a 6.9079
_cell_length_b 6.9079
_cell_length_c 6.9079
_cell_angle_alpha 43.68
_cell_angle_beta 43.68
_cell_angle_gamma 43.68
loop_
_atom_site_label
_atom_site_fract_x
_atom_site_fract_y
_atom_site_fract_z
_atom_site_occupancy
Rb1 0.0000 0.0000 0.0000 1
Hg1 0.2159 0.2159 0.2159 1
Hg2 0.7841 0.7841 0.7841 1
Sb1 0.5000 0.5000 0.5000 1

---

Record 8
# PBE-GGA CaBrCl, optimized geometry
# Volume ... 89 Å³ per cell
# Theoretical density ... 2.896 g/cm3
# DFT total energy ... -3.822 eV/atom
# Size of the total moment ... 0.00 μB per cell
data_CaBrCl
_chemical_formula_sum 'Ca1 Br1 Cl1'
_symmetry_space_group_name_H-M 'P 1'
_symmetry_Int_Tables_number 1
_symmetry_space_group_name_Hall 'P 1'
_cell_length_a 7.3251
_cell_length_b 7.3219
_cell_length_c 3.6027
_cell_angle_alpha 75.81
_cell_angle_beta 75.71
_cell_angle_gamma 28.48
loop_
_atom_site_label
_atom_site_fract_x
_atom_site_fract_y
_atom_site_fract_z
_atom_site_occupancy
Ca1 0.0000 0.0000 0.0000 1
Br1 0.6266 0.6266 0.3734 1
Cl1 0.3907 0.3907 0.6093 1